Record 1
ZrHg2Pb after structural relaxation, computed with GGA-PBE.

Results
Energy, eV per atom: -3.240
Energy relative to the elements, kJ per mole of atoms: -2.4

Cell lengths 6.4142, 6.4142, 6.4142 Å; angles 150.64, 130.05, 59.00 degrees
Element x y z (fractional)
Pb (0.7500, 0.2500, 0.5000)
Hg (0.0180, 0.0180, 0.0000)
Hg (0.4820, 0.4820, 0.0000)
Zr (0.2500, 0.7500, 0.5000)


Record 2
CaZn2Cl after structural relaxation, computed with GGA-PBE.

Results
Energy, eV per atom: -2.243
Energy relative to the elements, uncorrected, eV/atom: -0.644

Cell lengths 6.5568, 6.5568, 3.9878 Å; angles 72.24, 72.24, 33.78 degrees
Element x y z (fractional)
Zn (0.0025, 0.0025, 0.9975)
Zn (0.4975, 0.4975, 0.5025)
Ca (0.7500, 0.7500, 0.7500)
Cl (0.2500, 0.2500, 0.2500)


Record 3
Pm7Ho2Er3 after structural relaxation, computed with GGA-PBE.

Results
Energy, eV per atom: -4.387
Energy relative to the elements, kJ per mole of atoms: 27.8

Cell lengths 5.5057, 6.2541, 12.2211 Å; angles 90.43, 90.00, 90.00 degrees
Element x y z (fractional)
Pm (0.5000, 0.2434, 0.4548)
Pm (0.5000, 0.7566, 0.5452)
Pm (0.0000, 0.4423, 0.1837)
Pm (0.0000, 0.0000, 0.0000)
Pm (0.0000, 0.5577, 0.8163)
Pm (0.5000, 0.9105, 0.8286)
Pm (0.5000, 0.0895, 0.1714)
Ho (0.5000, 0.6138, 0.2767)
Ho (0.5000, 0.3862, 0.7233)
Er (0.5000, 0.5000, 0.0000)
Er (0.0000, 0.9351, 0.3431)
Er (0.0000, 0.0649, 0.6569)


Q: Among the records above, which one has the lowest energy?
A: Pm7Ho2Er3


Q: What is the energy in the third record?
A: -4.387 eV per atom


Q: Which value of energy does entry 3 give?
A: -4.387 eV per atom


Q: The highest energy belongs to which entry?
A: CaZn2Cl